(1)
Material: LiHgSe2
Method: DFT, PBE
State: optimized geometry

Properties
ΔE_f (raw)	-0.6	eV per formula unit

a = 4.163 Å, b = 4.202 Å, c = 4.934 Å
α = 90.00°, β = 90.00°, γ = 90.00°
Space group Pmmm (No. 47)
One atom of each set of equivalent atoms:
Li: 0.000 0.000 0.000 (multiplicity 1)
Hg: 0.500 0.500 0.000 (multiplicity 1)
Se: 0.000 0.500 0.500 (multiplicity 1)
Se: 0.500 0.000 0.500 (multiplicity 1)



(2)
Material: AcCe2SmSe4
Method: DFT, PBE
State: optimized geometry

Properties
ΔE_f (raw)	-14.5	eV per formula unit

a = 7.397 Å, b = 4.246 Å, c = 7.419 Å
α = 90.00°, β = 109.17°, γ = 90.00°
Space group P2/m (No. 10)
One atom of each set of equivalent atoms:
Ac: 0.000 0.000 0.000 (multiplicity 1)
Ce: 0.000 0.500 0.500 (multiplicity 1)
Ce: 0.500 0.000 0.500 (multiplicity 1)
Sm: 0.500 0.500 0.000 (multiplicity 1)
Se: 0.258 0.000 0.747 (multiplicity 2)
Se: 0.263 0.500 0.260 (multiplicity 2)



(3)
Material: Zr2PbS
Method: DFT, PBE
State: optimized geometry

Properties
ΔE_f (raw)	-1.5	eV per formula unit
polymorph energy (0 for the lowest one)	470	meV/atom

a = 6.952 Å, b = 6.952 Å, c = 6.952 Å
α = 90.00°, β = 90.00°, γ = 90.00°
Space group Fm-3m (No. 225)
One atom of each set of equivalent atoms:
Zr: 0.250 0.250 0.250 (multiplicity 8)
Pb: 0.000 0.000 0.000 (multiplicity 4)
S: 0.000 0.000 0.500 (multiplicity 4)



(4)
Material: Tm4ScCo
Method: DFT, PBE
State: optimized geometry

Properties
energy of formation	-0.03	eV per atom

a = 8.867 Å, b = 12.407 Å, c = 5.860 Å
α = 90.00°, β = 107.02°, γ = 90.00°
Space group C2/c (No. 15)
One atom of each set of equivalent atoms:
Tm: 0.105 0.166 0.049 (multiplicity 8)
Tm: 0.224 0.407 0.372 (multiplicity 8)
Sc: 0.000 0.388 0.750 (multiplicity 4)
Co: 0.000 0.002 0.250 (multiplicity 4)



(5)
Material: LaCBr
Method: DFT, PBE
State: optimized geometry

Properties
ΔE_f (raw)	-3.3	eV per formula unit

a = 7.498 Å, b = 4.098 Å, c = 10.967 Å
α = 90.00°, β = 100.13°, γ = 90.00°
Space group C2/m (No. 12)
One atom of each set of equivalent atoms:
La: 0.094 0.000 0.358 (multiplicity 4)
C: 0.085 0.500 0.530 (multiplicity 4)
Br: 0.208 0.500 0.179 (multiplicity 4)



(6)
Material: SrAlP
Method: DFT, PBE
State: optimized geometry

Properties
energy of formation	0.14	eV per atom

a = 7.047 Å, b = 7.047 Å, c = 7.047 Å
α = 90.00°, β = 90.00°, γ = 90.00°
Space group F-43m (No. 216)
One atom of each set of equivalent atoms:
Sr: 0.000 0.000 0.000 (multiplicity 4)
Al: 0.250 0.250 0.750 (multiplicity 4)
P: 0.250 0.250 0.250 (multiplicity 4)



no.,calculated density (Mg/m³)
1,7.0
2,7.3
3,8.3
4,8.4
5,4.6
6,2.8